Entry 1:
Sc4Cd5Cu2 | GGA-PBE | optimized geometry

```
data_Sc4Cd5Cu2
_chemical_formula_sum 'Sc4 Cd5 Cu2'
_symmetry_space_group_name_H-M 'P 1 2/m 1'
_symmetry_Int_Tables_number 10
_cell_length_a 7.451
_cell_length_b 3.325
_cell_length_c 9.256
_cell_angle_alpha 90.00
_cell_angle_beta 93.69
_cell_angle_gamma 90.00
loop_
_symmetry_equiv_pos_as_xyz
'x,y,z'
'-x,-y,-z'
'-x,y,-z'
'x,-y,z'
loop_
_atom_site_label
_atom_site_fract_x
_atom_site_fract_y
_atom_site_fract_z
_atom_site_occupancy
Sc1 0.172 0.000 0.354 1
Sc2 0.222 0.000 0.941 1
Cd1 0.173 0.500 0.648 1
Cd2 0.451 0.500 0.174 1
Cd3 0.500 0.500 0.500 1
Cu1 0.066 0.500 0.130 1
```

Properties
Its energy of formation is -0.24 eV per atom.



Entry 2:
Sc3Cd2Cu | GGA-PBE | optimized geometry

```
data_Sc3Cd2Cu
_chemical_formula_sum 'Sc3 Cd2 Cu1'
_symmetry_space_group_name_H-M 'P 4/m m m'
_symmetry_Int_Tables_number 123
_symmetry_space_group_name_Hall '-P 4 2'
_cell_length_a 3.283
_cell_length_b 3.283
_cell_length_c 11.456
_cell_angle_alpha 90.00
_cell_angle_beta 90.00
_cell_angle_gamma 90.00
loop_
_atom_site_label
_atom_site_fract_x
_atom_site_fract_y
_atom_site_fract_z
_atom_site_occupancy
Sc1 0.000 0.000 0.000 1
Sc2 0.000 0.000 0.361 1
Cd1 0.500 0.500 0.179 1
Cu1 0.500 0.500 0.500 1
```

Properties
Its energy of formation is -0.28 eV per atom.



Entry 3:
Sc4CdCu5 | GGA-PBE | optimized geometry

```
data_Sc4CdCu5
_chemical_formula_sum 'Sc4 Cd1 Cu5'
_symmetry_space_group_name_H-M 'P 4/m m m'
_symmetry_Int_Tables_number 123
_symmetry_space_group_name_Hall '-P 4 2'
_cell_length_a 3.239
_cell_length_b 3.239
_cell_length_c 16.320
_cell_angle_alpha 90.00
_cell_angle_beta 90.00
_cell_angle_gamma 90.00
loop_
_atom_site_label
_atom_site_fract_x
_atom_site_fract_y
_atom_site_fract_z
_atom_site_occupancy
Sc1 0.000 0.000 0.101 1
Sc2 0.000 0.000 0.303 1
Cd1 0.000 0.000 0.500 1
Cu1 0.500 0.500 0.000 1
Cu2 0.500 0.500 0.203 1
Cu3 0.500 0.500 0.399 1
```

Properties
Its energy of formation is -0.23 eV per atom.



Entry 4:
Sc3CdCu | GGA-PBE | optimized geometry

```
data_Sc3CdCu
_chemical_formula_sum 'Sc3 Cd1 Cu1'
_symmetry_space_group_name_H-M 'P m -3 m'
_symmetry_Int_Tables_number 221
_symmetry_space_group_name_Hall '-P 4 2 3'
_cell_length_a 5.261
_cell_length_b 5.261
_cell_length_c 5.261
_cell_angle_alpha 90.00
_cell_angle_beta 90.00
_cell_angle_gamma 90.00
loop_
_atom_site_label
_atom_site_fract_x
_atom_site_fract_y
_atom_site_fract_z
_atom_site_occupancy
Sc1 0.000 0.000 0.500 1
Cd1 0.000 0.000 0.000 1
Cu1 0.500 0.500 0.500 1
```

Properties
Its energy of formation is 0.80 eV per atom. As for the energy above the most stable polymorph in this dataset: 3.340 eV per formula unit.



Entry 5:
ScCd3Cu8 | GGA-PBE | optimized geometry

```
data_ScCd3Cu8
_chemical_formula_sum 'Sc3 Cd9 Cu24'
_symmetry_space_group_name_H-M 'R 3 m'
_symmetry_Int_Tables_number 160
_symmetry_space_group_name_Hall 'R 3 -2"'
_cell_length_a 5.0260
_cell_length_b 5.0260
_cell_length_c 24.5418
_cell_angle_alpha 90.00
_cell_angle_beta 90.00
_cell_angle_gamma 120.00
loop_
_atom_site_label
_atom_site_fract_x
_atom_site_fract_y
_atom_site_fract_z
_atom_site_occupancy
Sc1 0.0000 0.0000 0.0000 1
Cd1 0.0000 0.0000 0.3753 1
Cd2 0.0000 0.0000 0.4995 1
Cd3 0.0000 0.0000 0.8741 1
Cu1 0.0000 0.0000 0.1870 1
Cu2 0.0000 0.0000 0.6870 1
Cu3 0.0006 0.5003 0.9376 1
Cu4 0.1672 0.3344 0.7697 1
```

Properties
Its energy of formation is -0.10 eV per atom.



Entry 6:
Sc2CdCu2 | GGA-PBE | optimized geometry

```
data_Sc2CdCu2
_chemical_formula_sum 'Sc4 Cd2 Cu4'
_symmetry_space_group_name_H-M 'I 4/m m m'
_symmetry_Int_Tables_number 139
_symmetry_space_group_name_Hall '-I 4 2'
_cell_length_a 3.369
_cell_length_b 3.369
_cell_length_c 17.139
_cell_angle_alpha 90.00
_cell_angle_beta 90.00
_cell_angle_gamma 90.00
loop_
_atom_site_label
_atom_site_fract_x
_atom_site_fract_y
_atom_site_fract_z
_atom_site_occupancy
Sc1 0.000 0.000 0.118 1
Cd1 0.000 0.000 0.500 1
Cu1 0.000 0.500 0.250 1
```

Properties
Its energy of formation is -0.03 eV per atom.



Entry 7:
ScCd5Cu | GGA-PBE | optimized geometry

```
data_ScCd5Cu
_chemical_formula_sum 'Sc1 Cd5 Cu1'
_symmetry_space_group_name_H-M 'P 4/m m m'
_symmetry_Int_Tables_number 123
_symmetry_space_group_name_Hall '-P 4 2'
_cell_length_a 4.612
_cell_length_b 4.612
_cell_length_c 7.035
_cell_angle_alpha 90.00
_cell_angle_beta 90.00
_cell_angle_gamma 90.00
loop_
_atom_site_label
_atom_site_fract_x
_atom_site_fract_y
_atom_site_fract_z
_atom_site_occupancy
Sc1 0.000 0.000 0.000 1
Cd1 0.000 0.500 0.290 1
Cd2 0.500 0.500 0.000 1
Cu1 0.000 0.000 0.500 1
```

Properties
Its energy of formation is -0.12 eV per atom.



Entry 8:
ScCd4Cu | GGA-PBE | optimized geometry

```
data_ScCd4Cu
_chemical_formula_sum 'Sc4 Cd16 Cu4'
_symmetry_space_group_name_H-M 'I m m m'
_symmetry_Int_Tables_number 71
_symmetry_space_group_name_Hall '-I 2 2'
_cell_length_a 5.161
_cell_length_b 6.962
_cell_length_c 14.076
_cell_angle_alpha 90.00
_cell_angle_beta 90.00
_cell_angle_gamma 90.00
loop_
_atom_site_label
_atom_site_fract_x
_atom_site_fract_y
_atom_site_fract_z
_atom_site_occupancy
Sc1 0.000 0.000 0.201 1
Cd1 0.000 0.190 0.000 1
Cd2 0.000 0.274 0.375 1
Cd3 0.000 0.500 0.174 1
Cu1 0.230 0.000 0.500 1
```

Properties
Its energy of formation is -0.03 eV per atom. As for the energy above the most stable polymorph in this dataset: 0.000 eV per formula unit.



Entry 9:
ScCd4Cu | GGA-PBE | optimized geometry

```
data_ScCd4Cu
_chemical_formula_sum 'Sc4 Cd16 Cu4'
_symmetry_space_group_name_H-M 'F -4 3 m'
_symmetry_Int_Tables_number 216
_symmetry_space_group_name_Hall 'F -4 2 3'
_cell_length_a 8.020
_cell_length_b 8.020
_cell_length_c 8.020
_cell_angle_alpha 90.00
_cell_angle_beta 90.00
_cell_angle_gamma 90.00
loop_
_atom_site_label
_atom_site_fract_x
_atom_site_fract_y
_atom_site_fract_z
_atom_site_occupancy
Sc1 0.000 0.000 0.000 1
Cd1 0.125 0.125 0.625 1
Cu1 0.250 0.250 0.250 1
```

Properties
Its energy of formation is 0.15 eV per atom. As for the energy above the most stable polymorph in this dataset: 1.062 eV per formula unit.



Entry 10:
Sc2Cd3Cu2 | GGA-PBE | optimized geometry

```
data_Sc2Cd3Cu2
_chemical_formula_sum 'Sc4 Cd6 Cu4'
_symmetry_space_group_name_H-M 'C m m m'
_symmetry_Int_Tables_number 65
_symmetry_space_group_name_Hall '-C 2 2'
_cell_length_a 4.227
_cell_length_b 19.766
_cell_length_c 3.259
_cell_angle_alpha 90.00
_cell_angle_beta 90.00
_cell_angle_gamma 90.00
loop_
_atom_site_label
_atom_site_fract_x
_atom_site_fract_y
_atom_site_fract_z
_atom_site_occupancy
Sc1 0.000 0.172 0.000 1
Cd1 0.000 0.000 0.000 1
Cd2 0.000 0.420 0.500 1
Cu1 0.000 0.284 0.500 1
```

Properties
Its energy of formation is -0.21 eV per atom.



Entry 11:
Sc8CdCu2 | GGA-PBE | optimized geometry

```
data_Sc8CdCu2
_chemical_formula_sum 'Sc16 Cd2 Cu4'
_symmetry_space_group_name_H-M 'C 1 2/m 1'
_symmetry_Int_Tables_number 12
_cell_length_a 16.693
_cell_length_b 3.353
_cell_length_c 8.785
_cell_angle_alpha 90.00
_cell_angle_beta 99.86
_cell_angle_gamma 90.00
loop_
_symmetry_equiv_pos_as_xyz
'x,y,z'
'-x,-y,-z'
'-x,y,-z'
'x,-y,z'
'x+1/2,y+1/2,z'
'-x+1/2,-y+1/2,-z'
'-x+1/2,y+1/2,-z'
'x+1/2,-y+1/2,z'
loop_
_atom_site_label
_atom_site_fract_x
_atom_site_fract_y
_atom_site_fract_z
_atom_site_occupancy
Sc1 0.025 0.000 0.186 1
Sc2 0.136 0.000 0.678 1
Sc3 0.142 0.500 0.993 1
Sc4 0.179 0.500 0.386 1
Cd1 0.000 0.500 0.500 1
Cu1 0.239 0.000 0.202 1
```

Properties
Its energy of formation is -0.09 eV per atom. As for the energy above the most stable polymorph in this dataset: 0.000 eV per formula unit.



Entry 12:
Sc2CdCu2 | GGA-PBE | optimized geometry

```
data_Sc2CdCu2
_chemical_formula_sum 'Sc4 Cd2 Cu4'
_symmetry_space_group_name_H-M 'I 4/m m m'
_symmetry_Int_Tables_number 139
_symmetry_space_group_name_Hall '-I 4 2'
_cell_length_a 5.080
_cell_length_b 5.080
_cell_length_c 7.643
_cell_angle_alpha 90.00
_cell_angle_beta 90.00
_cell_angle_gamma 90.00
loop_
_atom_site_label
_atom_site_fract_x
_atom_site_fract_y
_atom_site_fract_z
_atom_site_occupancy
Sc1 0.000 0.500 0.250 1
Cd1 0.000 0.000 0.000 1
Cu1 0.000 0.000 0.356 1
```

Properties
Its energy of formation is -0.04 eV per atom.